Record 1
La2DyCd12Ag3 | PBE | relaxed Values from VASP.

Geometry as Quantum ESPRESSO input:
```
&SYSTEM
  ibrav = 0, nat = 18, ntyp = 4
/
ATOMIC_SPECIES
La 138.91 La.upf
Dy 162.50 Dy.upf
Cd 112.41 Cd.upf
Ag 107.87 Ag.upf
ATOMIC_POSITIONS crystal
La 0.0835 0.0835 0.0835
La 0.9165 0.9165 0.9165
Dy 0.5000 0.5000 0.5000
Cd 0.0394 0.6743 0.6743
Cd 0.2621 0.2621 0.6608
Cd 0.2621 0.6608 0.2621
Cd 0.3257 0.3257 0.9606
Cd 0.3257 0.9606 0.3257
Cd 0.3392 0.7379 0.7379
Cd 0.6608 0.2621 0.2621
Cd 0.6743 0.0394 0.6743
Cd 0.6743 0.6743 0.0394
Cd 0.7379 0.3392 0.7379
Cd 0.7379 0.7379 0.3392
Cd 0.9606 0.3257 0.3257
Ag 0.0000 0.5000 0.5000
Ag 0.5000 0.0000 0.5000
Ag 0.5000 0.5000 0.0000
CELL_PARAMETERS angstrom
4.4571 2.5733 7.3564
-4.4571 2.5733 7.3564
0.0000 -5.1466 7.3564
```

## Properties
E, eV/atom: -1.792
SG: R-3m
E_form, meV/atom: 96
Size of the total moment, μB/f.u.: 0.0

***

Record 2
Ba2GePN | PBE | relaxed Values from VASP.

Geometry as Quantum ESPRESSO input:
```
&SYSTEM
  ibrav = 0, nat = 10, ntyp = 4
/
ATOMIC_SPECIES
Ba 137.33 Ba.upf
Ge 72.64 Ge.upf
P 30.97 P.upf
N 14.01 N.upf
ATOMIC_POSITIONS crystal
Ba 0.1956 0.2500 0.3858
Ba 0.2484 0.7500 0.0227
Ba 0.7516 0.2500 0.9773
Ba 0.8044 0.7500 0.6142
Ge 0.1779 0.2500 0.7117
Ge 0.8221 0.7500 0.2883
P 0.3993 0.7500 0.7272
P 0.6007 0.2500 0.2728
N 0.0345 0.2500 0.8431
N 0.9655 0.7500 0.1569
CELL_PARAMETERS angstrom
6.9596 0.0000 0.0000
0.0000 4.1941 0.0000
-3.2791 0.0000 9.0903
```

## Properties
E, eV/atom: -5.099
SG: P2_1/m
Size of the total moment, μB/f.u.: 0.0
E_form (uncorrected), eV/atom: -0.6596

***

Record 3
LaBe2AlPt4 | PBE | relaxed Values from VASP.

Geometry as Quantum ESPRESSO input:
```
&SYSTEM
  ibrav = 0, nat = 8, ntyp = 4
/
ATOMIC_SPECIES
La 138.91 La.upf
Be 9.01 Be.upf
Al 26.98 Al.upf
Pt 195.08 Pt.upf
ATOMIC_POSITIONS crystal
La 0.0000 0.0000 0.0000
Be 0.2365 0.2365 0.2365
Be 0.7635 0.7635 0.7635
Al 0.5000 0.5000 0.5000
Pt 0.1329 0.1329 0.1329
Pt 0.4064 0.4064 0.4064
Pt 0.5936 0.5936 0.5936
Pt 0.8671 0.8671 0.8671
CELL_PARAMETERS angstrom
2.0604 1.1896 8.8946
-2.0604 1.1896 8.8946
0.0000 -2.3792 8.8946
```

## Properties
E, eV/atom: -5.882
SG: R-3m
E_form, meV/atom: -846
Size of the total moment, μB/f.u.: 0.0

***

Record 4
Cr2BiSe | PBE | relaxed Values from VASP.

Geometry as Quantum ESPRESSO input:
```
&SYSTEM
  ibrav = 0, nat = 4, ntyp = 3
/
ATOMIC_SPECIES
Cr 52.00 Cr.upf
Bi 208.98 Bi.upf
Se 78.96 Se.upf
ATOMIC_POSITIONS crystal
Cr 0.2500 0.2500 0.2500
Cr 0.7500 0.7500 0.7500
Bi 0.0000 0.0000 0.0000
Se 0.5000 0.5000 0.5000
CELL_PARAMETERS angstrom
0.0000 3.4445 3.4445
3.4445 0.0000 3.4445
3.4445 3.4445 0.0000
```

## Properties
E, eV/atom: -6.272
Polymorph energy (0 for the lowest one), eV/f.u.: 0.392
SG: Fm-3m
Size of the total moment, μB/f.u.: 7.4
E_form (uncorrected), eV/atom: 0.3807

***

Record 5
AcEr2Ir | PBE | relaxed Values from VASP.

Geometry as Quantum ESPRESSO input:
```
&SYSTEM
  ibrav = 0, nat = 4, ntyp = 3
/
ATOMIC_SPECIES
Ac 227.00 Ac.upf
Er 167.26 Er.upf
Ir 192.22 Ir.upf
ATOMIC_POSITIONS crystal
Ac 0.0000 0.0000 0.0000
Er 0.5491 0.5491 0.5491
Er 0.7796 0.7796 0.7796
Ir 0.1644 0.1644 0.1644
CELL_PARAMETERS angstrom
2.0562 1.1871 8.8959
-2.0562 1.1871 8.8959
0.0000 -2.3742 8.8959
```

## Properties
E, eV/atom: -5.954
Polymorph energy (0 for the lowest one), eV/f.u.: 0.000
SG: R3m
E_form, meV/atom: -430
Size of the total moment, μB/f.u.: 0.0

***

Record 6
TiAl2Hg | PBE | relaxed Values from VASP.

Geometry as Quantum ESPRESSO input:
```
&SYSTEM
  ibrav = 0, nat = 4, ntyp = 3
/
ATOMIC_SPECIES
Ti 47.87 Ti.upf
Al 26.98 Al.upf
Hg 200.59 Hg.upf
ATOMIC_POSITIONS crystal
Ti 0.0000 0.0000 0.0000
Al 0.0000 0.5000 0.5000
Al 0.5000 0.0000 0.5000
Hg 0.5000 0.5000 0.0000
CELL_PARAMETERS angstrom
4.1462 0.0000 0.0000
0.0000 4.1462 0.0000
0.0000 0.0000 3.9726
```

## Properties
E, eV/atom: -4.132
SG: P4/mmm
E_form, meV/atom: -211
Size of the total moment, μB/f.u.: 0.0

***

Record 7
BaLiHoI6 | PBE | relaxed Values from VASP.

Geometry as Quantum ESPRESSO input:
```
&SYSTEM
  ibrav = 0, nat = 18, ntyp = 4
/
ATOMIC_SPECIES
Ba 137.33 Ba.upf
Li 6.94 Li.upf
Ho 164.93 Ho.upf
I 126.90 I.upf
ATOMIC_POSITIONS crystal
Ba 0.0000 0.0000 0.0000
Ba 0.0000 0.0000 0.5000
Li 0.3333 0.6667 0.2500
Li 0.6667 0.3333 0.7500
Ho 0.3333 0.6667 0.7500
Ho 0.6667 0.3333 0.2500
I 0.9996 0.3645 0.6351
I 0.0004 0.3649 0.1351
I 0.9996 0.6351 0.8649
I 0.0004 0.6355 0.3649
I 0.3645 0.9996 0.1351
I 0.3645 0.3649 0.3649
I 0.3649 0.0004 0.6351
I 0.3649 0.3645 0.8649
I 0.6351 0.9996 0.3649
I 0.6351 0.6355 0.1351
I 0.6355 0.0004 0.8649
I 0.6355 0.6351 0.6351
CELL_PARAMETERS angstrom
7.8201 0.0000 0.0000
-3.9100 6.7724 0.0000
0.0000 0.0000 14.9980
```

## Properties
E, eV/atom: -3.417
SG: P-31c
Size of the total moment, μB/f.u.: 0.0
E_form (uncorrected), eV/atom: -1.4490

***

Record 8
Al4CuIr | PBE | relaxed Values from VASP.

Geometry as Quantum ESPRESSO input:
```
&SYSTEM
  ibrav = 0, nat = 6, ntyp = 3
/
ATOMIC_SPECIES
Al 26.98 Al.upf
Cu 63.55 Cu.upf
Ir 192.22 Ir.upf
ATOMIC_POSITIONS crystal
Al 0.3757 0.3757 0.3757
Al 0.3757 0.3757 0.8728
Al 0.3757 0.8728 0.3757
Al 0.8728 0.3757 0.3757
Cu 0.0000 0.0000 0.0000
Ir 0.7500 0.7500 0.7500
CELL_PARAMETERS angstrom
0.0000 3.5347 3.5347
3.5347 0.0000 3.5347
3.5347 3.5347 0.0000
```

## Properties
E, eV/atom: -4.603
SG: F-43m
E_form, meV/atom: 52
Size of the total moment, μB/f.u.: 0.0